1.
First-principles (GGA-PBEsol) data for crystalline CaScAs at its relaxed geometry, as listed in Alexandria via LeMat-Bulk.

Calculated values
**Total moment**: 0.90 μB per formula unit
**E_tot**: -56.19 eV for the cell shown
**Energy of formation from the pure elements**: -67.4 meV per atom

Cell: 6.6668 6.6668 6.6668 Å, 90.00 90.00 90.00°
Space group F-43m (No. 216)
Unique sites:
Ca1 0.0000 0.0000 0.0000 [4 per cell]
Sc1 0.2500 0.2500 0.2500 [4 per cell]
As1 0.0000 0.0000 0.5000 [4 per cell]

***

2.
First-principles (GGA-PBEsol) data for crystalline Mn3VP6O24 at its relaxed geometry, as listed in Alexandria via LeMat-Bulk.

Calculated values
**Total moment**: 7.94 μB per formula unit
**E_tot**: -800.06 eV for the cell shown
**Raw formation energy**: -1.972 eV per atom

Cell: 8.1277 8.1277 21.3958 Å, 90.00 90.00 120.00°
Space group R3 (No. 146, hexagonal axes)
Unique sites:
Mn1 0.0000 0.0000 0.0000 [3 per cell]
Mn2 0.0000 0.0000 0.2141 [3 per cell]
Mn3 0.0000 0.0000 0.5068 [3 per cell]
V1 0.0000 0.0000 0.7212 [3 per cell]
P1 0.0023 0.7227 0.1112 [9 per cell]
P2 0.0033 0.2853 0.6085 [9 per cell]
O1 0.0073 0.8158 0.0485 [9 per cell]
O2 0.0229 0.1907 0.9476 [9 per cell]
O3 0.0835 0.2185 0.2631 [9 per cell]
O4 0.0841 0.2152 0.5560 [9 per cell]
O5 0.1493 0.4788 0.3369 [9 per cell]
O6 0.1583 0.6822 0.4373 [9 per cell]
O7 0.2012 0.7541 0.1238 [9 per cell]
O8 0.2026 0.7494 0.8307 [9 per cell]

***

3.
First-principles (GGA-PBEsol) data for crystalline IrSe2I at its relaxed geometry, as listed in Alexandria via LeMat-Bulk.

Calculated values
**Total moment**: 0.00 μB per formula unit
**E_tot**: -59.95 eV for the cell shown
**Raw formation energy**: -0.174 eV per atom

Cell: 3.8414 3.8414 23.4392 Å, 90.00 90.00 120.00°
Space group R-3m (No. 166, hexagonal axes)
Unique sites:
Ir1 0.0000 0.0000 0.0000 [3 per cell]
Se1 0.0000 0.0000 0.3824 [6 per cell]
I1 0.0000 0.0000 0.5000 [3 per cell]

***

4.
First-principles (GGA-PBEsol) data for crystalline Ba2TlCo at its relaxed geometry, as listed in Alexandria via LeMat-Bulk.

Calculated values
**Total moment**: 1.14 μB per formula unit
**E_tot**: -13.78 eV for the cell shown
**Energy of formation from the pure elements**: 222.2 meV per atom

Cell: 3.8213 3.8213 8.4244 Å, 90.00 90.00 90.00°
Space group P4/mmm (No. 123)
Unique sites:
Ba1 0.0000 0.0000 0.2140 [2 per cell]
Tl1 0.5000 0.5000 0.5000 [1 per cell]
Co1 0.5000 0.5000 0.0000 [1 per cell]

***

5.
First-principles (GGA-PBEsol) data for crystalline MgI2NO at its relaxed geometry, as listed in Alexandria via LeMat-Bulk.

Calculated values
**Total moment**: 5.01 μB per formula unit
**E_tot**: -14.36 eV for the cell shown
**Raw formation energy**: 0.933 eV per atom

Cell: 5.6657 5.6657 4.0013 Å, 90.00 90.00 90.00°
Space group P4/mmm (No. 123)
Unique sites:
Mg1 0.0000 0.0000 0.0000 [1 per cell]
I1 0.0000 0.5000 0.0000 [2 per cell]
N1 0.0000 0.0000 0.5000 [1 per cell]
O1 0.5000 0.5000 0.5000 [1 per cell]

***

6.
First-principles (GGA-PBEsol) data for crystalline Mg2InAg at its relaxed geometry, as listed in Alexandria via LeMat-Bulk.

Calculated values
**Total moment**: 0.00 μB per formula unit
**E_tot**: -10.35 eV for the cell shown
**Energy of formation from the pure elements**: -154.7 meV per atom

Cell: 3.1575 4.8735 5.1526 Å, 90.00 90.00 90.00°
Space group Pmm2 (No. 25)
Unique sites:
Mg1 0.0000 0.0000 0.0000 [1 per cell]
Mg2 0.0000 0.5000 0.3633 [1 per cell]
In1 0.5000 0.5000 0.8507 [1 per cell]
Ag1 0.5000 0.0000 0.4967 [1 per cell]